Material: Sr4ScCd
Method: DFT, GGA-PBE
State: relaxed

Values from the calculation:
Energy relative to the elements: 0.53 eV/atom
Space group: F-43m (216)

a b c (Å): 7.2040 7.2040 7.2040
angles (deg): 60.00 60.00 60.00
Atoms (fractional coordinates):
Sr  0.8767  0.3744  0.3744
Sr  0.3744  0.3744  0.8767
Sr  0.3744  0.8767  0.3744
Sr  0.3744  0.3744  0.3744
Sc  0.0000  0.0000  0.0000
Cd  0.7500  0.7500  0.7500

---

Material: SrScCd2
Method: DFT, GGA-PBE
State: relaxed

Values from the calculation:
Energy relative to the elements: -0.04 eV/atom
Space group: R-3m (166)

a b c (Å): 9.9269 9.9269 9.9269
angles (deg): 21.72 21.72 21.72
Atoms (fractional coordinates):
Cd  0.9907  0.9907  0.9907
Cd  0.5093  0.5093  0.5093
Sc  0.2500  0.2500  0.2500
Sr  0.7500  0.7500  0.7500

---

Material: Sr2ScCd
Method: DFT, GGA-PBE
State: relaxed

Values from the calculation:
Energy relative to the elements: 0.32 eV/atom
Space group: I-42d (122)
Distance to the lowest polymorph of the same formula: 345 meV per atom

a b c (Å): 9.3037 9.3037 7.4145
angles (deg): 51.14 51.14 90.00
Atoms (fractional coordinates):
Sc  0.5000  0.5000  0.0000
Sc  0.2500  0.7500  0.5000
Sr  0.6612  0.1250  0.2500
Sr  0.0888  0.6250  0.2500
Sr  0.3750  0.3388  0.7500
Sr  0.8750  0.9112  0.7500
Cd  0.0000  0.0000  0.0000
Cd  0.7500  0.2500  0.5000

---

Material: SrSc3Cd
Method: DFT, GGA-PBE
State: relaxed

Values from the calculation:
Energy relative to the elements: 0.38 eV/atom
Space group: Pm-3m (221)
Distance to the lowest polymorph of the same formula: 0 meV per atom

a b c (Å): 5.4628 5.4628 5.4628
angles (deg): 90.00 90.00 90.00
Atoms (fractional coordinates):
Sc  0.0000  0.5000  0.0000
Sc  0.0000  0.0000  0.5000
Sc  0.5000  0.0000  0.0000
Sr  0.5000  0.5000  0.5000
Cd  0.0000  0.0000  0.0000

---

Material: SrSc2CdTc
Method: DFT, GGA-PBE
State: relaxed

Values from the calculation:
Energy relative to the elements: 1.18 eV/atom
Space group: P4/mmm (123)

a b c (Å): 5.3229 5.7762 5.3229
angles (deg): 90.00 90.00 90.00
Atoms (fractional coordinates):
Sc  0.0000  0.0000  0.5000
Sc  0.5000  0.0000  0.0000
Sr  0.0000  0.5000  0.0000
Tc  0.5000  0.5000  0.5000
Cd  0.0000  0.0000  0.0000

---

Material: SrScCdTe2
Method: DFT, GGA-PBE
State: relaxed

Values from the calculation:
Formation energy from raw total energies: 0.895 eV per formula unit
Space group: P4/mmm (123)

a b c (Å): 6.1075 5.7239 6.1075
angles (deg): 90.00 90.00 90.00
Atoms (fractional coordinates):
Sc  0.5000  0.5000  0.5000
Sr  0.0000  0.0000  0.0000
Te  0.0000  0.0000  0.5000
Te  0.5000  0.0000  0.0000
Cd  0.0000  0.5000  0.0000

---

Material: SrScTlCd
Method: DFT, GGA-PBE
State: relaxed

Values from the calculation:
Energy relative to the elements: -0.23 eV/atom
Space group: F-43m (216)

a b c (Å): 5.4024 5.4024 5.4024
angles (deg): 60.00 60.00 60.00
Atoms (fractional coordinates):
Sc  0.5000  0.5000  0.5000
Sr  0.0000  0.0000  0.0000
Tl  0.2500  0.2500  0.2500
Cd  0.7500  0.7500  0.7500

---

Material: SrScZnCd
Method: DFT, GGA-PBE
State: relaxed

Values from the calculation:
Energy relative to the elements: -0.13 eV/atom
Space group: F-43m (216)

a b c (Å): 5.2563 5.2563 5.2563
angles (deg): 60.00 60.00 60.00
Atoms (fractional coordinates):
Sc  0.0000  0.0000  0.0000
Sr  0.5000  0.5000  0.5000
Zn  0.2500  0.2500  0.2500
Cd  0.7500  0.7500  0.7500

---

Material: ScTaCd
Method: DFT, GGA-PBE
State: relaxed

Values from the calculation:
Energy relative to the elements: 0.83 eV/atom
Space group: F-43m (216)
Distance to the lowest polymorph of the same formula: 905 meV per atom

a b c (Å): 4.6436 4.6436 4.6436
angles (deg): 60.00 60.00 60.00
Atoms (fractional coordinates):
Cd  0.7500  0.7500  0.7500
Sc  0.0000  0.0000  0.0000
Ta  0.5000  0.5000  0.5000

---

Material: ScTaCd2
Method: DFT, GGA-PBE
State: relaxed

Values from the calculation:
Energy relative to the elements: 0.18 eV/atom
Space group: P4/mmm (123)
Distance to the lowest polymorph of the same formula: 177 meV per atom

a b c (Å): 5.0823 5.0823 3.1353
angles (deg): 90.00 90.00 90.00
Atoms (fractional coordinates):
Cd  0.0000  0.0000  0.0000
Cd  0.5000  0.5000  0.0000
Sc  0.5000  0.0000  0.5000
Ta  0.0000  0.5000  0.5000

---

Material: ScTa3Cd
Method: DFT, GGA-PBE
State: relaxed

Values from the calculation:
Energy relative to the elements: 1.81 eV/atom
Space group: Pm-3m (221)
Distance to the lowest polymorph of the same formula: 0 meV per atom

a b c (Å): 4.7863 4.7863 4.7863
angles (deg): 90.00 90.00 90.00
Atoms (fractional coordinates):
Sc  0.0000  0.0000  0.0000
Cd  0.5000  0.5000  0.5000
Ta  0.0000  0.5000  0.0000
Ta  0.0000  0.0000  0.5000
Ta  0.5000  0.0000  0.0000

---

Material: ScTa4Cd
Method: DFT, GGA-PBE
State: relaxed

Values from the calculation:
Energy relative to the elements: 0.29 eV/atom
Space group: F-43m (216)

a b c (Å): 5.5741 5.5741 5.5741
angles (deg): 60.00 60.00 60.00
Atoms (fractional coordinates):
Sc  0.0000  0.0000  0.0000
Ta  0.8813  0.3729  0.3729
Ta  0.3729  0.3729  0.8813
Ta  0.3729  0.8813  0.3729
Ta  0.3729  0.3729  0.3729
Cd  0.7500  0.7500  0.7500

---

- What is the formula in the sixth record?
  SrScCdTe2

---

Repeat the eleventh record exactly.
Material: ScTa3Cd
Method: DFT, GGA-PBE
State: relaxed

Values from the calculation:
Energy relative to the elements: 1.81 eV/atom
Space group: Pm-3m (221)
Distance to the lowest polymorph of the same formula: 0 meV per atom

a b c (Å): 4.7863 4.7863 4.7863
angles (deg): 90.00 90.00 90.00
Atoms (fractional coordinates):
Sc  0.0000  0.0000  0.0000
Cd  0.5000  0.5000  0.5000
Ta  0.0000  0.5000  0.0000
Ta  0.0000  0.0000  0.5000
Ta  0.5000  0.0000  0.0000